# 1
Here is a geometry-optimized SbTeF2 structure from Alexandria via LeMat-Bulk. Energies are from GGA-PBE.

```
16
Lattice="4.6218 0.3305 -0.0879 0.3574 5.1153 0.6150 -0.2343 1.3915 16.0020" Properties=species:S:1:pos:R:3 pbc="T T T"
F 2.9507 6.3122 15.3507
F 3.6814 5.7456 7.7765
F 0.4111 3.5735 9.6241
F 4.3338 3.2637 6.9049
F 3.3682 3.5228 15.7450
F 1.7942 0.5251 1.1784
F 1.0635 1.0917 8.7526
F 1.3767 3.3144 0.7841
Sb 4.0765 2.1675 9.5329
Sb 1.7267 2.9970 14.7373
Sb 0.6685 4.6698 6.9961
Sb 3.0182 3.8403 1.7918
Te 4.0205 0.6421 3.6906
Te 1.8170 2.9252 4.2554
Te 0.7245 6.1952 12.8385
Te 2.9280 3.9121 12.2737
```

Properties
Offset from the most stable computed form, eV/atom: 0.0000
SG: P-1, No. 2
Raw total energy, eV per atom: -4.177
Formation energy from raw total energies, eV/atom: -1.4254

---

# 2
Here is a geometry-optimized LaCeHgRu structure from Alexandria via LeMat-Bulk. Energies are from GGA-PBE.

```
4
Lattice="-0.6531 3.9472 0.6894 -3.0245 -2.3540 -1.3323 -0.5747 -3.4786 7.4477" Properties=species:S:1:pos:R:3 pbc="T T T"
Ru -2.4033 -3.1546 6.1134
Ce -2.9629 -2.0503 -0.7493
La -1.1618 -0.6860 5.1088
Hg -1.9726 1.6712 2.7856
```

Properties
Offset from the most stable computed form, eV/atom: 0.0000
SG: R3m, No. 160
Raw total energy, eV per atom: -5.449
Formation energy from the elements, eV/atom: -0.3395

---

# 3
Here is a geometry-optimized LiEu3H structure from Alexandria via LeMat-Bulk. Energies are from GGA-PBE.

```
5
Lattice="-1.8351 0.9223 4.8316 4.5182 -1.7225 2.0449 1.9445 4.8728 -0.1916" Properties=species:S:1:pos:R:3 pbc="T T T"
Eu 2.2591 -0.8613 1.0224
Eu -0.9175 0.4612 2.4158
Eu 0.9723 2.4364 -0.0958
Li 2.3138 2.0363 3.3424
H 0.0000 0.0000 0.0000
```

Properties
SG: Pm-3m, No. 221
Raw total energy, eV per atom: -7.325

---

# 4
Here is a geometry-optimized YTlI4 structure from Alexandria via LeMat-Bulk. Energies are from GGA-PBE.

```
6
Lattice="4.6058 0.0000 0.0000 0.0002 7.9865 0.1436 0.0001 0.1571 7.9862" Properties=species:S:1:pos:R:3 pbc="T T T"
I 2.3030 5.8752 2.2581
I 2.3030 2.2684 5.8716
I 4.6058 1.4660 1.4639
I 0.0003 6.6775 6.6659
Tl 0.0001 4.0718 4.0649
Y 2.3029 0.0000 0.0000
```

Properties
Offset from the most stable computed form, eV/atom: 0.0325
SG: Cmmm, No. 65
Raw total energy, eV per atom: -3.621
Formation energy from raw total energies, eV/atom: -1.1158

---

# 5
Here is a geometry-optimized Tb2Pr2In7 structure from Alexandria via LeMat-Bulk. Energies are from GGA-PBE.

```
11
Lattice="-0.7764 -1.7416 -7.5278 5.9616 0.8793 -0.8182 1.3979 -7.2565 2.3859" Properties=species:S:1:pos:R:3 pbc="T T T"
In 1.1745 -0.6413 -3.9752
In 5.0978 -2.9772 0.5867
In 4.7060 -3.8494 -3.1765
In 0.0000 0.0000 0.0000
In 1.8771 -4.2693 -2.7836
In 1.4853 -5.1415 -6.5468
In 5.4086 -7.4774 -1.9849
Pr 3.1040 -1.3443 -1.4285
Pr 3.4791 -6.7745 -4.5316
Tb 5.7674 -2.3395 -5.6905
Tb 0.8157 -5.7793 -0.2695
```

Properties
SG: Cmmm, No. 65
Raw total energy, eV per atom: -3.456
Formation energy from the elements, eV/atom: -0.0024

---

# 6
Here is a geometry-optimized Tl2BiHPd structure from Alexandria via LeMat-Bulk. Energies are from GGA-PBE.

```
5
Lattice="5.7648 0.0000 0.0000 0.0000 5.7648 0.0000 0.0000 0.0000 3.4724" Properties=species:S:1:pos:R:3 pbc="T T T"
Pd 0.0000 0.0000 0.0000
Tl 2.8824 0.0000 0.0000
Tl 0.0000 2.8824 0.0000
Bi 2.8824 2.8824 1.7362
H 0.0000 0.0000 1.7362
```

Properties
SG: P4/mmm, No. 123
Raw total energy, eV per atom: -3.387

---

# 7
Here is a geometry-optimized Nb2Ag4B structure from Alexandria via LeMat-Bulk. Energies are from GGA-PBE.

```
7
Lattice="4.0176 0.0000 0.0000 0.0000 4.0176 0.0000 2.0088 2.0088 8.4665" Properties=species:S:1:pos:R:3 pbc="T T T"
B 0.0000 0.0000 0.0000
Ag 4.0176 4.0176 2.2195
Ag 2.0088 0.0000 0.0000
Ag 2.0088 2.0088 6.2469
Ag 0.0000 2.0088 0.0000
Nb 4.0176 4.0176 4.9054
Nb 2.0088 2.0088 3.5611
```

Properties
SG: I4/mmm, No. 139
Raw total energy, eV per atom: -4.574
Formation energy from the elements, eV/atom: 0.8866

---

# 8
Here is a geometry-optimized RbMg2ScP structure from Alexandria via LeMat-Bulk. Energies are from GGA-PBE.

```
5
Lattice="5.4395 0.0000 0.0000 0.0000 5.0629 0.0000 0.0000 0.0000 5.4395" Properties=species:S:1:pos:R:3 pbc="T T T"
Mg 2.7197 0.0000 0.0000
Mg 0.0000 0.0000 2.7197
Sc 0.0000 2.5315 0.0000
P 0.0000 0.0000 0.0000
Rb 2.7197 2.5315 2.7197
```

Properties
SG: P4/mmm, No. 123
Raw total energy, eV per atom: -3.089
Formation energy from the elements, eV/atom: 0.0908

---

# 9
Here is a geometry-optimized Th6P2HC3 structure from Alexandria via LeMat-Bulk. Energies are from GGA-PBE.

```
12
Lattice="3.8755 0.0000 0.0000 0.0000 7.9685 0.0725 -1.9377 -2.5219 8.2392" Properties=species:S:1:pos:R:3 pbc="T T T"
P 0.0000 1.7721 2.6810
P 1.9377 3.6745 5.6307
Th 1.9377 3.9460 2.7238
Th 0.0000 5.8195 5.4611
Th 1.9377 -0.3729 2.8506
Th 0.0000 1.5007 5.5879
Th 1.9377 -0.3278 8.0825
Th 0.0000 5.7744 0.2292
H 1.9377 0.0000 0.0000
C 1.9377 3.9843 0.0362
C 1.9377 -0.3654 5.4657
C 0.0000 5.8120 2.8460
```

Properties
SG: C2/m, No. 12
Raw total energy, eV per atom: -7.920

---

# 10
Here is a geometry-optimized ScSiOs2 structure from Alexandria via LeMat-Bulk. Energies are from GGA-PBE.

```
4
Lattice="-0.2503 -2.8500 0.2214 0.9544 0.2200 3.9107 -5.0471 0.5366 1.2015" Properties=species:S:1:pos:R:3 pbc="T T T"
Os -5.0219 0.5339 1.1955
Os -0.8420 -1.1880 2.3503
Sc -2.5265 0.2686 0.6015
Si -3.5232 -0.9030 2.9886
```

Properties
SG: Pmm2, No. 25
Raw total energy, eV per atom: -8.756
Formation energy from raw total energies, eV/atom: -0.2023

---

# 11
Here is a geometry-optimized Ho5CuRh6 structure from Alexandria via LeMat-Bulk. Energies are from GGA-PBE.

```
12
Lattice="4.4809 -0.0038 -1.2560 -3.3444 6.6535 -3.3305 -0.1431 -0.8416 8.1128" Properties=species:S:1:pos:R:3 pbc="T T T"
Rh 2.5048 1.5442 0.3107
Rh 0.2179 5.5844 0.7606
Rh -1.5115 4.2638 3.2155
Rh 1.2707 3.1195 4.5238
Rh 0.7754 0.2237 2.7657
Rh -0.2774 2.6885 -0.9976
Ho -2.3026 4.2143 0.3936
Ho 1.6298 0.2511 5.8135
Ho -1.1850 1.5976 4.3887
Ho -0.6364 5.5569 -2.2873
Ho 0.4967 2.9040 1.7631
Cu 0.0000 0.0000 0.0000
```

Properties
SG: Immm, No. 71
Raw total energy, eV per atom: -6.695
Formation energy from the elements, eV/atom: -0.7707

---

# 12
Here is a geometry-optimized Nd2As4Rh3Au structure from Alexandria via LeMat-Bulk. Energies are from GGA-PBE.

```
10
Lattice="-0.7843 2.5356 -3.4853 2.2378 -2.7881 -2.5319 -8.4193 -5.1052 -1.8195" Properties=species:S:1:pos:R:3 pbc="T T T"
Au -3.4829 -2.6788 -3.9184
As -5.8112 -2.0181 -2.9138
As -1.8814 -3.2133 -1.9144
As 0.7268 -0.1262 -3.0086
As 0.0000 0.0000 0.0000
Rh 0.1535 -1.9794 -1.4746
Rh -4.2097 -2.5526 -0.9098
Rh -7.8460 -3.2520 -3.3536
Nd -2.4462 0.0223 -2.1866
Nd -5.2464 -5.2537 -2.6416
```

Properties
SG: P-4m2, No. 115
Raw total energy, eV per atom: -6.165
Formation energy from the elements, eV/atom: -0.8189